First-principles (meta-GGA SCAN) data for K at its PBEsol-relaxed geometry, as listed in Alexandria via LeMat-Bulk.

The raw total energy is -8.328 eV per atom. The energy above the lowest structure with this stoichiometry is 0 meV per atom. The crystal system is cubic. The total moment comes out at 0.01 μB per formula unit. The formation energy is 0.000 eV per atom.

Lattice parameters (Å, degrees): 4.613 4.616 4.613 119.98 90.00 119.98
Atoms (fractional coordinates):
K 0.500 0.000 0.500



First-principles (meta-GGA SCAN) data for K at its PBEsol-relaxed geometry, as listed in Alexandria via LeMat-Bulk.

The raw total energy is -8.304 eV per atom. The energy above the lowest structure with this stoichiometry is 24 meV per atom. The crystal system is cubic. The total moment comes out at 0.00 μB per formula unit. The formation energy is 0.024 eV per atom.

Lattice parameters (Å, degrees): 19.580 19.580 19.580 109.47 109.47 109.47
Atoms (fractional coordinates):
K 0.024 0.429 0.783
K 0.500 0.798 0.298
K 0.572 0.691 0.881
K 0.737 0.896 0.841
K 0.945 0.104 0.841
K 0.691 0.119 0.810
K 0.119 0.428 0.309
K 0.881 0.572 0.691
K 0.798 0.298 0.500
K 0.510 0.833 0.678
K 0.309 0.119 0.428
K 0.841 0.737 0.896
K 0.896 0.841 0.737
K 0.500 0.592 0.092
K 0.405 0.976 0.758
K 0.000 0.000 0.377
K 0.092 0.500 0.592
K 0.845 0.167 0.678
K 0.217 0.647 0.242
K 0.908 0.500 0.408
K 0.353 0.571 0.595
K 0.055 0.896 0.159
K 0.595 0.353 0.571
K 0.405 0.647 0.429
K 0.783 0.024 0.429
K 0.976 0.571 0.217
K 0.000 0.623 0.000
K 0.377 0.377 0.377
K 0.833 0.322 0.155
K 0.408 0.908 0.500
K 0.428 0.309 0.119
K 0.429 0.405 0.647
K 0.429 0.783 0.024
K 0.623 0.623 0.623
K 0.810 0.691 0.119
K 0.159 0.055 0.896
K 0.322 0.490 0.167
K 0.119 0.810 0.691
K 0.159 0.263 0.104
K 0.500 0.408 0.908
K 0.678 0.845 0.167
K 0.242 0.217 0.647
K 0.691 0.881 0.572
K 0.242 0.595 0.024
K 0.702 0.500 0.202
K 0.571 0.595 0.353
K 0.595 0.024 0.242
K 0.647 0.429 0.405
K 0.500 0.202 0.702
K 0.678 0.510 0.833
K 0.758 0.783 0.353
K 0.571 0.217 0.976
K 0.104 0.841 0.945
K 0.309 0.881 0.190
K 0.155 0.833 0.322
K 0.758 0.405 0.976
K 0.000 0.377 0.000
K 0.024 0.242 0.595
K 0.647 0.242 0.217
K 0.490 0.167 0.322
K 0.217 0.976 0.571
K 0.167 0.322 0.490
K 0.623 0.000 0.000
K 0.896 0.159 0.055
K 0.841 0.945 0.104
K 0.263 0.104 0.159
K 0.833 0.678 0.510
K 0.377 0.000 0.000
K 0.353 0.758 0.783
K 0.167 0.678 0.845
K 0.881 0.190 0.309
K 0.783 0.353 0.758
K 0.190 0.309 0.881
K 0.000 0.000 0.000
K 0.000 0.000 0.623
K 0.298 0.500 0.798
K 0.592 0.092 0.500
K 0.976 0.758 0.405
K 0.104 0.159 0.263
K 0.202 0.702 0.500
K 0.322 0.155 0.833



First-principles (meta-GGA SCAN) data for K at its PBEsol-relaxed geometry, as listed in Alexandria via LeMat-Bulk.

The raw total energy is -8.329 eV per atom. The energy above the lowest structure with this stoichiometry is 0 meV per atom. The crystal system is hexagonal. The total moment comes out at 0.00 μB per formula unit. The formation energy is 0.000 eV per atom.

Lattice parameters (Å, degrees): 4.622 4.622 7.522 90.00 90.00 120.00
Atoms (fractional coordinates):
K 0.333 0.667 0.750
K 0.667 0.333 0.250



First-principles (meta-GGA SCAN) data for K at its PBEsol-relaxed geometry, as listed in Alexandria via LeMat-Bulk.

The raw total energy is -8.328 eV per atom. The energy above the lowest structure with this stoichiometry is 1 meV per atom. The crystal system is cubic. The total moment comes out at 0.00 μB per formula unit. The formation energy is 0.001 eV per atom.

Lattice parameters (Å, degrees): 8.973 8.973 8.973 109.47 109.47 109.47
Atoms (fractional coordinates):
K 0.000 0.500 0.987
K 0.500 0.987 0.500
K 0.013 0.013 0.513
K 0.500 0.487 0.500
K 0.000 0.500 0.487
K 0.487 0.000 0.000
K 0.987 0.000 0.000
K 0.513 0.513 0.013



First-principles (meta-GGA SCAN) data for K at its PBEsol-relaxed geometry, as listed in Alexandria via LeMat-Bulk.

The raw total energy is -8.329 eV per atom. The energy above the lowest structure with this stoichiometry is 0 meV per atom. The crystal system is trigonal. The total moment comes out at 0.00 μB per formula unit. The formation energy is 0.000 eV per atom.

Lattice parameters (Å, degrees): 4.620 4.620 11.608 78.52 78.52 60.00
Atoms (fractional coordinates):
K 0.778 0.778 0.667
K 0.000 0.000 0.000
K 0.222 0.222 0.333



First-principles (meta-GGA SCAN) data for K at its PBEsol-relaxed geometry, as listed in Alexandria via LeMat-Bulk.

The raw total energy is -8.327 eV per atom. The energy above the lowest structure with this stoichiometry is 1 meV per atom. The crystal system is cubic. The total moment comes out at 0.00 μB per formula unit. The formation energy is 0.001 eV per atom.

Lattice parameters (Å, degrees): 4.481 4.481 4.481 109.47 109.47 109.47
Atoms (fractional coordinates):
K 0.000 0.000 0.000



First-principles (meta-GGA SCAN) data for KLa3 at its PBEsol-relaxed geometry, as listed in Alexandria via LeMat-Bulk.

The raw total energy is -34.055 eV per atom. The crystal system is orthorhombic. The total moment comes out at 0.74 μB per formula unit. The formation energy is 0.356 eV per atom.

Lattice parameters (Å, degrees): 3.585 6.667 6.667 110.19 90.00 90.00
Last column: magnetic moment on the atom in μB.
Atoms (fractional coordinates):
K 0.000 0.000 0.000  -0.01
La 0.000 0.500 0.500  -0.02
La 0.500 0.500 0.000  -0.14
La 0.500 0.000 0.500  -0.14



First-principles (meta-GGA SCAN) data for KLa3 at its PBEsol-relaxed geometry, as listed in Alexandria via LeMat-Bulk.

The raw total energy is -34.111 eV per atom. The crystal system is orthorhombic. The total moment comes out at 0.00 μB per formula unit. The formation energy is 0.300 eV per atom.

Lattice parameters (Å, degrees): 3.526 5.716 7.823 90.00 90.00 90.00
Atoms (fractional coordinates):
La 0.500 0.000 0.537
La 0.500 0.500 0.745
La 0.000 0.500 0.349
K 0.000 0.000 0.035



First-principles (meta-GGA SCAN) data for KLiLa at its PBEsol-relaxed geometry, as listed in Alexandria via LeMat-Bulk.

The raw total energy is -17.679 eV per atom. The crystal system is tetragonal. The total moment comes out at 0.71 μB per formula unit. The formation energy is 0.262 eV per atom.

Lattice parameters (Å, degrees): 3.538 3.538 9.321 100.94 100.94 90.00
Last column: magnetic moment on the atom in μB.
Atoms (fractional coordinates):
K 0.990 0.990 0.979  0.01
Li 0.322 0.322 0.644  0.01
La 0.689 0.689 0.377  0.29



First-principles (meta-GGA SCAN) data for KLaMg2 at its PBEsol-relaxed geometry, as listed in Alexandria via LeMat-Bulk.

The raw total energy is -15.206 eV per atom. The energy above the lowest structure with this stoichiometry is 0 meV per atom. The crystal system is tetragonal. The total moment comes out at 0.16 μB per formula unit. The formation energy is 0.139 eV per atom.

Lattice parameters (Å, degrees): 3.538 3.538 10.790 90.00 90.00 90.00
Last column: magnetic moment on the atom in μB.
Atoms (fractional coordinates):
K 0.000 0.000 0.472  -0.01
Mg 0.000 0.000 0.024  0.00
Mg 0.500 0.500 0.193  -0.01
La 0.500 0.500 0.811  0.16



First-principles (meta-GGA SCAN) data for KLaMg2 at its PBEsol-relaxed geometry, as listed in Alexandria via LeMat-Bulk.

The raw total energy is -15.200 eV per atom. The energy above the lowest structure with this stoichiometry is 7 meV per atom. The crystal system is monoclinic. The total moment comes out at 0.32 μB per formula unit. The formation energy is 0.146 eV per atom.

Lattice parameters (Å, degrees): 3.362 6.215 6.818 107.64 104.27 90.00
Last column: magnetic moment on the atom in μB.
Atoms (fractional coordinates):
Mg 0.283 0.729 0.565  0.00
K 0.522 0.556 0.044  0.00
La 0.722 0.189 0.445  -0.19
Mg 0.973 0.027 0.946  0.00



First-principles (meta-GGA SCAN) data for K2LaMg at its PBEsol-relaxed geometry, as listed in Alexandria via LeMat-Bulk.

The raw total energy is -15.824 eV per atom. The crystal system is tetragonal. The total moment comes out at 1.76 μB per formula unit. The formation energy is 0.360 eV per atom.

Lattice parameters (Å, degrees): 5.017 5.017 6.594 90.00 90.00 90.00
Last column: magnetic moment on the atom in μB.
Atoms (fractional coordinates):
K 0.000 0.500 0.000  0.02
La 0.500 0.500 0.500  0.44
Mg 0.000 0.000 0.500  0.01
K 0.500 0.000 0.000  0.02